RbPbN2: optimized geometry, GGA-PBE.

```
RbPbN2
1.0
6.551 0.000 0.000
0.000 6.551 0.000
0.000 0.000 8.380
Rb Pb N
4 4 8
Direct
0.000 0.000 0.000
0.000 0.500 0.250
0.500 0.000 0.750
0.500 0.500 0.500
0.000 0.000 0.500
0.000 0.500 0.750
0.500 0.000 0.250
0.500 0.500 0.000
0.160 0.250 0.625
0.250 0.660 0.875
0.250 0.840 0.375
0.340 0.250 0.125
0.660 0.750 0.125
0.750 0.160 0.375
0.750 0.340 0.875
0.840 0.750 0.625
```

Calculated values
- Energy relative to the elements, uncorrected: 346.5 kJ/mol of formula units
- Total magnetization: 4.0 μB/cell
- D(E_F): 23.20 states/eV per cell